Compound: HoSc5N6
Source: the Alexandria database
Functional: PBE-GGA
Structure: relaxed

POSCAR file:
```
HoSc5N6
1.0
2.808 -4.864 0.000
2.808 4.864 0.000
-1.869 0.000 5.291
Ho Sc N
1 5 6
Cartesian
0.000 0.000 0.000 Ho
1.873 3.224 2.646 Sc
2.808 1.619 0.000 Sc
1.873 0.000 2.646 Sc
2.808 -1.619 0.000 Sc
1.873 -3.224 2.646 Sc
0.961 1.663 1.346 N
0.051 0.000 3.943 N
0.961 -1.663 1.346 N
2.785 1.663 3.945 N
3.695 0.000 1.348 N
2.785 -1.663 3.945 N
```

Output
formation energy without anion corrections = -1.860 eV/atom
SG = C2/m, No. 12

Compound: TlIn2N
Source: the Alexandria database
Functional: PBE-GGA
Structure: relaxed

POSCAR file:
```
TlIn2N
1.0
-3.234 3.234 4.759
3.234 -3.234 4.759
3.234 3.234 -4.759
Tl In N
2 4 2
Cartesian
0.000 0.000 0.000 Tl
0.000 3.234 2.379 Tl
1.617 -0.964 3.569 In
2.271 1.617 1.190 In
1.617 4.198 -1.190 In
0.964 1.617 5.948 In
3.234 0.000 2.379 N
0.000 0.000 4.759 N
```

Output
formation energy without anion corrections = 0.329 eV/atom
SG = I-42d, No. 122
energy above the most stable polymorph in this dataset = 0.0 meV per atom

What is the formation energy without anion corrections in the first record?
-1.860 eV/atom

Which value of formation energy without anion corrections does entry 1 give?
-1.860 eV/atom